# Nd6NiSn2 | Alexandria via LeMat-Bulk | PBE | optimized geometry
data_Nd6NiSn2
_chemical_formula_sum 'Nd6 Ni1 Sn2'
_cell_length_a 4.2467
_cell_length_b 8.5169
_cell_length_c 8.5170
_cell_angle_alpha 120.00
_cell_angle_beta 90.00
_cell_angle_gamma 90.00
_symmetry_space_group_name_H-M 'P 1'
_symmetry_Int_Tables_number 1
_symmetry_space_group_name_Hall 'P 1'
loop_
_atom_site_label
_atom_site_type_symbol
_atom_site_fract_x
_atom_site_fract_y
_atom_site_fract_z
_atom_site_occupancy
Ni1 Ni 0.5000 0.0001 0.0000 1
Sn1 Sn 0.0000 0.3333 0.6667 1
Sn2 Sn 0.0000 0.6667 0.3333 1
Nd1 Nd 0.5000 0.5861 0.0000 1
Nd2 Nd 0.0000 0.0000 0.2367 1
Nd3 Nd 0.5000 0.4139 0.4139 1
Nd4 Nd 0.5000 0.0000 0.5861 1
Nd5 Nd 0.0000 0.7633 0.7633 1
Nd6 Nd 0.0000 0.2367 0.0000 1
# Formation enthalpy at 0 K in eV per atom: -0.443
# Space-group type: No. 189
# E_tot in eV/atom: -5.15
# D(E_F) in states/eV/atom: 1.188